Record 1
{"formula": "LiFeNO2", "functional": "PBE with a Hubbard U", "state": "relaxed", "cell": [[3.839, 0.000, 0.000], [0.000, 3.839, 0.000], [0.000, 0.000, 3.815]], "species": ["Li", "Fe", "N", "O", "O"], "frac_coords": [[0.500, 0.500, 0.500], [0.000, 0.000, 0.000], [0.000, 0.000, 0.500], [0.500, 0.000, 0.000], [0.000, 0.500, 0.000]], "final_energy_ev_per_cell": -26.7, "dos_at_fermi_per_ev_fu": 2.15, "space_group": "No. 123"}

Record 2
{"formula": "LiFeNO2", "functional": "PBE with a Hubbard U", "state": "relaxed", "cell": [[3.646, 0.000, 0.000], [0.000, 3.646, 0.000], [0.000, 0.000, 3.781]], "species": ["O", "N", "Li", "Fe", "O"], "frac_coords": [[0.500, 0.000, 0.000], [0.000, 0.000, 0.500], [0.000, 0.000, 0.000], [0.500, 0.500, 0.500], [0.000, 0.500, 0.000]], "final_energy_ev_per_cell": -23.1, "dos_at_fermi_per_ev_fu": 1.66, "space_group": "No. 123"}